A | Na3CoO3: relaxed, PBE with a Hubbard U.

Output
space group = No. 14

Unit cell a=9.7190 b=6.4317 c=7.1492 alpha=61.43 beta=90.00 gamma=90.00
Last column: nearest neighbours and their distance in Å.
Fractional coordinates of all 28 atoms:
Co (0.5126, 0.1933, 0.2653)  3 O 1.77-1.79
Co (0.0126, 0.3067, 0.7347)  3 O 1.77-1.79
Co (0.9874, 0.6933, 0.2653)  3 O 1.77-1.79
Co (0.4874, 0.8067, 0.7347)  3 O 1.77-1.79
O (0.4419, 0.3878, 0.3511)  1 Co 1.77
O (0.1954, 0.3387, 0.7424)  1 Co 1.79
O (0.8046, 0.6613, 0.2576)  1 Co 1.79
O (0.6954, 0.1613, 0.2576)  1 Co 1.79
O (0.0581, 0.8878, 0.3511)  1 Co 1.77
O (0.5581, 0.6122, 0.6489)  1 Co 1.77
O (0.6049, 0.9444, 0.8340)  1 Co 1.79
O (0.9419, 0.1122, 0.6489)  1 Co 1.77
O (0.8951, 0.4444, 0.8340)  1 Co 1.79
O (0.3951, 0.0556, 0.1660)  1 Co 1.79
O (0.3046, 0.8387, 0.7424)  1 Co 1.79
O (0.1049, 0.5556, 0.1660)  1 Co 1.79
Na (0.9475, 0.2426, 0.2444)  3 O 2.30-2.50
Na (0.2783, 0.7172, 0.4741)  4 O 2.37-2.51
Na (0.2703, 0.4318, 0.0094)  4 O 2.31-2.45
Na (0.7217, 0.2828, 0.5259)  4 O 2.37-2.51
Na (0.5525, 0.7426, 0.2444)  3 O 2.30-2.50
Na (0.7703, 0.0682, 0.9906)  4 O 2.31-2.45
Na (0.2217, 0.2172, 0.4741)  4 O 2.37-2.51
Na (0.0525, 0.7574, 0.7556)  3 O 2.30-2.50
Na (0.2297, 0.9318, 0.0094)  4 O 2.31-2.45
Na (0.4475, 0.2574, 0.7556)  3 O 2.30-2.50
Na (0.7783, 0.7828, 0.5259)  4 O 2.37-2.51
Na (0.7297, 0.5682, 0.9906)  4 O 2.31-2.45

B | Na3CoO3: relaxed, PBE with a Hubbard U.

Output
space group = No. 136

Unit cell a=4.4954 b=9.2287 c=9.2364 alpha=90.00 beta=90.00 gamma=90.00
Last column: nearest neighbours and their distance in Å.
Fractional coordinates of all 28 atoms:
Na (0.5000, 0.8513, 0.1490)  4 O 2.32-2.35
Na (0.0000, 0.8698, 0.3734)  3 O 2.24-2.33
Na (0.0000, 0.6487, 0.6490)  4 O 2.32-2.35
Na (0.0000, 0.3513, 0.3510)  4 O 2.32-2.35
Na (0.0000, 0.1302, 0.6266)  3 O 2.24-2.33
Na (0.5000, 0.1487, 0.8510)  4 O 2.32-2.35
Na (0.5000, 0.6302, 0.8734)  3 O 2.24-2.33
Na (0.0000, 0.6265, 0.1301)  3 O 2.24-2.33
Na (0.5000, 0.8735, 0.6301)  3 O 2.24-2.33
Na (0.0000, 0.3735, 0.8699)  3 O 2.24-2.33
Na (0.5000, 0.1265, 0.3699)  3 O 2.24-2.33
Na (0.5000, 0.3698, 0.1266)  3 O 2.24-2.33
Co (0.0000, 0.8878, 0.8879)  4 O 1.81-1.92
Co (0.5000, 0.3878, 0.6121)  4 O 1.81-1.92
Co (0.5000, 0.6122, 0.3879)  4 O 1.81-1.92
Co (0.0000, 0.1122, 0.1121)  4 O 1.81-1.92
O (0.5000, 0.8080, 0.3968)  1 Co 1.81
O (0.5000, 0.3968, 0.8077)  1 Co 1.81
O (0.0000, 0.8968, 0.6923)  1 Co 1.81
O (0.0000, 0.6920, 0.8968)  1 Co 1.81
O (0.0000, 0.1032, 0.3077)  1 Co 1.81
O (0.0000, 0.9046, 0.0953)  2 Co 1.92
O (0.5000, 0.5954, 0.5953)  2 Co 1.92
O (0.5000, 0.4046, 0.4047)  2 Co 1.92
O (0.0000, 0.3080, 0.1032)  1 Co 1.81
O (0.5000, 0.1920, 0.6032)  1 Co 1.81
O (0.0000, 0.0954, 0.9047)  2 Co 1.92
O (0.5000, 0.6032, 0.1923)  1 Co 1.81

C | Na3CoO3: relaxed, PBE with a Hubbard U.

Output
space group = No. 14

Unit cell a=6.0288 b=6.5858 c=9.8362 alpha=86.75 beta=90.00 gamma=90.00
Last column: nearest neighbours and their distance in Å.
Fractional coordinates of all 28 atoms:
O (0.9418, 0.6720, 0.6908)  1 Co 1.80
O (0.9661, 0.8898, 0.3891)  2 Co 1.97-1.98
O (0.5582, 0.6720, 0.1908)  1 Co 1.80
O (0.5339, 0.8898, 0.8891)  2 Co 1.97-1.98
O (0.4661, 0.1102, 0.1109)  2 Co 1.97-1.98
O (0.6229, 0.2621, 0.4666)  1 Co 1.81
O (0.0339, 0.1102, 0.6109)  2 Co 1.97-1.98
O (0.4418, 0.3280, 0.8092)  1 Co 1.80
O (0.3771, 0.7379, 0.5334)  1 Co 1.81
O (0.0582, 0.3280, 0.3092)  1 Co 1.80
O (0.8771, 0.2621, 0.9666)  1 Co 1.81
O (0.1229, 0.7379, 0.0334)  1 Co 1.81
Na (0.7862, 0.3630, 0.6838)  4 O 2.25-2.48
Na (0.3620, 0.0795, 0.3426)  3 O 2.36-2.47
Na (0.3088, 0.3643, 0.5840)  4 O 2.34-2.52
Na (0.8088, 0.6357, 0.9160)  4 O 2.34-2.52
Na (0.1912, 0.3643, 0.0840)  4 O 2.34-2.52
Na (0.2138, 0.6370, 0.3162)  4 O 2.25-2.48
Na (0.6380, 0.9205, 0.6574)  3 O 2.36-2.47
Na (0.2862, 0.6370, 0.8162)  4 O 2.25-2.48
Na (0.8620, 0.9205, 0.1574)  3 O 2.36-2.47
Na (0.1380, 0.0795, 0.8426)  3 O 2.36-2.47
Na (0.7138, 0.3630, 0.1838)  4 O 2.25-2.48
Na (0.6912, 0.6357, 0.4160)  4 O 2.34-2.52
Co (0.6006, 0.1736, 0.9307)  4 O 1.80-1.98
Co (0.3994, 0.8264, 0.0693)  4 O 1.80-1.98
Co (0.1006, 0.8264, 0.5693)  4 O 1.80-1.98
Co (0.8994, 0.1736, 0.4307)  4 O 1.80-1.98

D | Na3CoO3: relaxed, PBE with a Hubbard U.

Output
space group = No. 63

Unit cell a=4.7652 b=6.6430 c=6.6430 alpha=101.52 beta=90.00 gamma=90.00
Last column: nearest neighbours and their distance in Å.
Fractional coordinates of all 14 atoms:
O (0.7500, 0.9336, 0.6872)  1 Co 1.77
O (0.2500, 0.6281, 0.3719)  1 Co 1.79
O (0.7500, 0.3719, 0.6281)  1 Co 1.79
O (0.2500, 0.0664, 0.3128)  1 Co 1.77
O (0.7500, 0.3128, 0.0664)  1 Co 1.77
O (0.2500, 0.6872, 0.9336)  1 Co 1.77
Co (0.7500, 0.1976, 0.8024)  3 O 1.77-1.79
Co (0.2500, 0.8024, 0.1976)  3 O 1.77-1.79
Na (0.2500, 0.8834, 0.6665)  4 O 2.32-2.41
Na (0.7500, 0.1166, 0.3335)  4 O 2.32-2.41
Na (0.7500, 0.5991, 0.4009)  3 O 2.34-2.40
Na (0.2500, 0.3335, 0.1166)  4 O 2.32-2.41
Na (0.7500, 0.6665, 0.8834)  4 O 2.32-2.41
Na (0.2500, 0.4009, 0.5991)  3 O 2.34-2.40

C has the most favorable energy; the next structure is 10 meV/atom above.

A | Na3CoO3: relaxed, PBE with a Hubbard U.

Output
space group = No. 14

Unit cell a=7.6841 b=6.1180 c=10.8738 alpha=56.12 beta=90.00 gamma=90.00
Last column: nearest neighbours and their distance in Å.
Fractional coordinates of all 28 atoms:
Co (0.3509, 0.7140, 0.3554)  3 O 1.77-1.78
Co (0.8509, 0.2860, 0.1446)  3 O 1.77-1.78
Co (0.6491, 0.2860, 0.6446)  3 O 1.77-1.78
Co (0.1491, 0.7140, 0.8554)  3 O 1.77-1.78
O (0.3641, 0.9808, 0.3762)  1 Co 1.77
O (0.7749, 0.5594, 0.5100)  1 Co 1.77
O (0.9184, 0.2468, 0.3128)  1 Co 1.78
O (0.4184, 0.7532, 0.1872)  1 Co 1.78
O (0.5816, 0.2468, 0.8128)  1 Co 1.78
O (0.8641, 0.0192, 0.1238)  1 Co 1.77
O (0.0816, 0.7532, 0.6872)  1 Co 1.78
O (0.6359, 0.0192, 0.6238)  1 Co 1.77
O (0.7251, 0.5594, 0.0100)  1 Co 1.77
O (0.2749, 0.4406, 0.9900)  1 Co 1.77
O (0.2251, 0.4406, 0.4900)  1 Co 1.77
O (0.1359, 0.9808, 0.8762)  1 Co 1.77
Na (0.6572, 0.9647, 0.4319)  4 O 2.30-2.49
Na (0.8428, 0.9647, 0.9319)  4 O 2.30-2.49
Na (0.7328, 0.6139, 0.2736)  4 O 2.31-2.56
Na (0.0310, 0.7930, 0.4615)  4 O 2.31-2.49
Na (0.3428, 0.0353, 0.5681)  4 O 2.30-2.49
Na (0.1572, 0.0353, 0.0681)  4 O 2.30-2.49
Na (0.2672, 0.3861, 0.7264)  4 O 2.31-2.56
Na (0.7672, 0.6139, 0.7736)  4 O 2.31-2.56
Na (0.5310, 0.2070, 0.0385)  4 O 2.31-2.49
Na (0.9690, 0.2070, 0.5385)  4 O 2.31-2.49
Na (0.2328, 0.3861, 0.2264)  4 O 2.31-2.56
Na (0.4690, 0.7930, 0.9615)  4 O 2.31-2.49

B | Na3CoO3: relaxed, PBE with a Hubbard U.

Output
space group = No. 2

Unit cell a=5.7920 b=5.9550 c=6.3988 alpha=115.70 beta=89.19 gamma=94.53
Last column: nearest neighbours and their distance in Å.
Fractional coordinates of all 14 atoms:
O (0.3092, 0.0785, 0.6273)  2 Co 1.97-1.99
O (0.7541, 0.0946, 0.8974)  1 Co 1.81
O (0.6908, 0.9215, 0.3727)  2 Co 1.97-1.99
O (0.2459, 0.9054, 0.1026)  1 Co 1.81
O (0.2576, 0.5315, 0.3449)  1 Co 1.81
O (0.7424, 0.4685, 0.6551)  1 Co 1.81
Na (0.1419, 0.2311, 0.9795)  4 O 2.27-2.50
Na (0.4377, 0.7456, 0.7452)  5 O 2.36-2.57
Na (0.0651, 0.2343, 0.4495)  4 O 2.31-2.52
Na (0.9349, 0.7657, 0.5505)  4 O 2.31-2.52
Na (0.5623, 0.2544, 0.2548)  5 O 2.36-2.57
Na (0.8581, 0.7689, 0.0205)  4 O 2.27-2.50
Co (0.6413, 0.1900, 0.6883)  4 O 1.81-1.99
Co (0.3587, 0.8100, 0.3117)  4 O 1.81-1.99

B has the most favorable energy; the next structure is 20 meV/atom above.

A | Na3CoO2: relaxed, PBE with a Hubbard U.

Output
space group = No. 63

Unit cell a=5.3444 b=5.3444 c=6.5520 alpha=90.00 beta=90.00 gamma=96.54
Last column: nearest neighbours and their distance in Å.
Fractional coordinates of all 12 atoms:
Na (0.7725, 0.7725, 0.7500)  3 O 2.30-2.35
Na (0.2275, 0.2275, 0.2500)  3 O 2.30-2.35
Na (0.2959, 0.7041, 0.5000)  3 O 2.35-2.36
Na (0.2959, 0.7041, 0.0000)  3 O 2.35-2.36
Na (0.7041, 0.2959, 0.5000)  3 O 2.35-2.36
Na (0.7041, 0.2959, 0.0000)  3 O 2.35-2.36
O (0.4415, 0.4415, 0.7500)  1 Co 1.88
O (0.0000, 0.0000, 0.5000)  2 Co 2.07, 2 Na 2.30
O (0.5585, 0.5585, 0.2500)  1 Co 1.88
O (0.0000, 0.0000, 0.0000)  2 Co 2.07, 2 Na 2.30
Co (0.1774, 0.1774, 0.7500)  3 O 1.88-2.07
Co (0.8226, 0.8226, 0.2500)  3 O 1.88-2.07

B | Na3CoO2: relaxed, PBE with a Hubbard U.

Output
space group = No. 136

Unit cell a=4.6714 b=9.4490 c=9.4490 alpha=90.00 beta=90.00 gamma=90.00
Last column: nearest neighbours and their distance in Å.
Fractional coordinates of all 24 atoms:
Na (0.0000, 0.9741, 0.3419)  4 O 2.37-2.46
Na (0.0000, 0.6411, 0.3589)  2 O 2.31
Na (0.5000, 0.4741, 0.1581)  4 O 2.37-2.46
Na (0.0000, 0.3589, 0.6411)  2 O 2.31
Na (0.5000, 0.1411, 0.1411)  2 O 2.31
Na (0.0000, 0.3419, 0.9741)  4 O 2.37-2.46
Na (0.0000, 0.6581, 0.0259)  4 O 2.37-2.46
Na (0.5000, 0.5260, 0.8419)  4 O 2.37-2.46
Na (0.5000, 0.8589, 0.8589)  2 O 2.31
Na (0.5000, 0.8419, 0.5259)  4 O 2.37-2.46
Na (0.0000, 0.0259, 0.6581)  4 O 2.37-2.46
Na (0.5000, 0.1581, 0.4740)  4 O 2.37-2.46
O (0.5000, 0.0400, 0.6953)  1 Co 1.77
O (0.0000, 0.8047, 0.5400)  1 Co 1.77
O (0.0000, 0.4600, 0.1953)  1 Co 1.77
O (0.5000, 0.3047, 0.9600)  1 Co 1.77
O (0.5000, 0.6953, 0.0400)  1 Co 1.77
O (0.0000, 0.5400, 0.8047)  1 Co 1.77
O (0.5000, 0.9600, 0.3047)  1 Co 1.77
O (0.0000, 0.1953, 0.4600)  1 Co 1.77
Co (0.5000, 0.1766, 0.8234)  2 O 1.77
Co (0.0000, 0.6766, 0.6766)  2 O 1.77
Co (0.5000, 0.8234, 0.1766)  2 O 1.77
Co (0.0000, 0.3234, 0.3234)  2 O 1.77

B has the most favorable energy; the next structure is 197 meV/atom above.

A | NaCoP2O: relaxed, PBE with a Hubbard U.

Output
space group = No. 123

Unit cell a=4.2690 b=4.2690 c=4.3217 alpha=90.00 beta=90.00 gamma=90.00
Last column: nearest neighbours and their distance in Å.
Fractional coordinates of all 5 atoms:
P (0.5000, 0.0000, 0.0000)  2 Co 2.13
P (0.0000, 0.5000, 0.0000)  2 Co 2.13
O (0.0000, 0.0000, 0.5000)  2 Co 2.16
Na (0.5000, 0.5000, 0.5000)  4 O 3.02, 8 P 3.04
Co (0.0000, 0.0000, 0.0000)  4 P 2.13, 2 O 2.16

B | NaCoP2O: relaxed, PBE with a Hubbard U.

Output
space group = No. 123

Unit cell a=4.8887 b=4.8887 c=3.9108 alpha=90.00 beta=90.00 gamma=90.00
Last column: nearest neighbours and their distance in Å.
Fractional coordinates of all 5 atoms:
Na (0.0000, 0.0000, 0.0000)  2 O 1.96
Co (0.5000, 0.5000, 0.5000)  8 P 3.13, 4 O 3.46
O (0.0000, 0.0000, 0.5000)  2 Na 1.96
P (0.5000, 0.0000, 0.0000)  2 Na 2.44
P (0.0000, 0.5000, 0.0000)  2 Na 2.44

A has the most favorable energy; the next structure is 1069 meV/atom above.

A | Na2CoP2O7: relaxed, PBE with a Hubbard U.

Output
space group = No. 2

Unit cell a=6.6193 b=7.1286 c=9.6528 alpha=92.47 beta=105.95 gamma=115.22
Last column: nearest neighbours and their distance in Å.
Fractional coordinates of all 24 atoms:
O (0.2926, 0.1190, 0.0592)  1 P 1.50
O (0.8938, 0.6236, 0.8032)  1 P 1.50
O (0.3508, 0.8989, 0.7522)  1 P 1.55
O (0.7028, 0.9124, 0.5830)  1 O 1.52
O (0.2934, 0.6287, 0.9305)  2 P 1.63-1.65
O (0.0744, 0.7226, 0.1917)  1 P 1.53
O (0.4996, 0.2630, 0.5374)  1 O 1.52
O (0.5004, 0.7370, 0.4626)  1 O 1.52
O (0.1062, 0.3764, 0.1968)  1 P 1.50
O (0.7074, 0.8810, 0.9408)  1 P 1.50
O (0.9256, 0.2774, 0.8083)  1 P 1.53
O (0.2972, 0.0876, 0.4170)  1 O 1.52
O (0.6492, 0.1011, 0.2478)  1 P 1.55
O (0.7066, 0.3713, 0.0695)  2 P 1.63-1.65
Na (0.9771, 0.0100, 0.1667)  4 O 2.25-2.43
Na (0.0229, 0.9900, 0.8333)  4 O 2.25-2.43
Na (0.2284, 0.3832, 0.4434)  4 O 2.29-2.36
Na (0.7716, 0.6168, 0.5566)  4 O 2.29-2.36
P (0.9926, 0.4991, 0.1143)  3 O 1.50-1.63
P (0.5398, 0.2347, 0.1647)  3 O 1.50-1.65
P (0.4602, 0.7653, 0.8353)  3 O 1.50-1.65
P (0.0074, 0.5009, 0.8857)  3 O 1.50-1.63
Co (0.5896, 0.0896, 0.6593)  4 O 1.91-2.09
Co (0.4104, 0.9104, 0.3407)  4 O 1.91-2.09

B | Na2CoP2O7: relaxed, PBE with a Hubbard U.

Output
space group = No. 136

Unit cell a=7.8395 b=7.8395 c=10.4229 alpha=90.00 beta=90.00 gamma=90.00
Last column: nearest neighbours and their distance in Å.
Fractional coordinates of all 48 atoms:
O (0.8058, 0.4198, 0.1461)  1 P 1.54
O (0.5000, 0.5000, 0.1540)  2 P 1.64
O (0.3058, 0.0802, 0.3539)  1 P 1.54
O (0.8630, 0.8630, 0.1444)  1 P 1.51
O (0.3630, 0.6370, 0.6444)  1 P 1.51
O (0.4198, 0.8058, 0.8539)  1 P 1.54
O (0.3058, 0.0802, 0.6461)  1 P 1.54
O (0.1370, 0.1370, 0.1444)  1 P 1.51
O (0.1942, 0.5802, 0.1461)  1 P 1.54
O (0.9198, 0.6942, 0.6461)  1 P 1.54
O (0.0802, 0.3058, 0.6461)  1 P 1.54
O (0.1942, 0.5802, 0.8539)  1 P 1.54
O (0.5802, 0.1942, 0.8539)  1 P 1.54
O (0.8630, 0.8630, 0.8556)  1 P 1.51
O (0.0000, 0.0000, 0.3460)  2 P 1.64
O (0.3630, 0.6370, 0.3556)  1 P 1.51
O (0.0000, 0.0000, 0.6540)  2 P 1.64
O (0.9198, 0.6942, 0.3539)  1 P 1.54
O (0.5000, 0.5000, 0.8460)  2 P 1.64
O (0.6370, 0.3630, 0.6444)  1 P 1.51
O (0.5802, 0.1942, 0.1461)  1 P 1.54
O (0.4198, 0.8058, 0.1461)  1 P 1.54
O (0.6942, 0.9198, 0.6461)  1 P 1.54
O (0.8058, 0.4198, 0.8539)  1 P 1.54
O (0.0802, 0.3058, 0.3539)  1 P 1.54
O (0.6370, 0.3630, 0.3556)  1 P 1.51
O (0.6942, 0.9198, 0.3539)  1 P 1.54
O (0.1370, 0.1370, 0.8556)  1 P 1.51
Co (0.5000, 0.0000, 0.7500)  4 O 1.97
Co (0.0000, 0.5000, 0.7500)  4 O 1.97
Co (0.0000, 0.5000, 0.2500)  4 O 1.97
Co (0.5000, 0.0000, 0.2500)  4 O 1.97
P (0.1381, 0.1381, 0.2897)  4 O 1.51-1.64
P (0.1381, 0.1381, 0.7103)  4 O 1.51-1.64
P (0.6381, 0.3619, 0.2103)  4 O 1.51-1.64
P (0.3619, 0.6381, 0.2103)  4 O 1.51-1.64
P (0.8619, 0.8619, 0.7103)  4 O 1.51-1.64
P (0.8619, 0.8619, 0.2897)  4 O 1.51-1.64
P (0.6381, 0.3619, 0.7897)  4 O 1.51-1.64
P (0.3619, 0.6381, 0.7897)  4 O 1.51-1.64
Na (0.8059, 0.1941, 0.5000)  4 O 2.40-2.69
Na (0.8538, 0.1462, 0.0000)  8 O 2.66-2.68
Na (0.6462, 0.6462, 0.5000)  8 O 2.66-2.68
Na (0.3538, 0.3538, 0.5000)  8 O 2.66-2.68
Na (0.1462, 0.8538, 0.0000)  8 O 2.66-2.68
Na (0.3059, 0.3059, 0.0000)  4 O 2.40-2.69
Na (0.6941, 0.6941, 0.0000)  4 O 2.40-2.69
Na (0.1941, 0.8059, 0.5000)  4 O 2.40-2.69

C | Na2CoP2O7: relaxed, PBE with a Hubbard U.

Output
space group = No. 74

Unit cell a=6.8173 b=8.0455 c=8.7195 alpha=117.47 beta=113.01 gamma=90.00
Last column: nearest neighbours and their distance in Å.
Fractional coordinates of all 24 atoms:
P (0.0984, 0.1468, 0.2935)  4 O 1.51-1.63
P (0.3049, 0.3532, 0.7065)  4 O 1.51-1.63
P (0.6951, 0.6468, 0.2935)  4 O 1.51-1.63
P (0.9016, 0.8532, 0.7065)  4 O 1.51-1.63
O (0.7753, 0.5701, 0.1402)  1 P 1.51
O (0.2247, 0.4299, 0.8598)  1 P 1.51
O (0.7745, 0.0142, 0.7105)  1 P 1.55
O (0.5640, 0.4858, 0.2895)  1 P 1.55
O (0.9111, 0.7500, 0.5000)  2 P 1.63
O (0.0889, 0.2500, 0.5000)  2 P 1.63
O (0.8649, 0.0701, 0.1402)  1 P 1.51
O (0.2255, 0.3037, 0.2895)  1 P 1.55
O (0.4360, 0.1963, 0.7105)  1 P 1.55
O (0.2255, 0.9858, 0.2895)  1 P 1.55
O (0.5640, 0.8037, 0.2895)  1 P 1.55
O (0.4360, 0.5142, 0.7105)  1 P 1.55
O (0.1351, 0.9299, 0.8598)  1 P 1.51
O (0.7745, 0.6963, 0.7105)  1 P 1.55
Na (0.2566, 0.2566, 0.0132)  4 O 2.30-2.36
Na (0.7434, 0.2434, 0.9868)  4 O 2.30-2.36
Na (0.7434, 0.7434, 0.9868)  4 O 2.30-2.36
Na (0.2566, 0.7566, 0.0132)  4 O 2.30-2.36
Co (0.5000, 0.0000, 0.5000)  4 O 2.00
Co (0.5000, 0.5000, 0.5000)  4 O 2.00

B has the most favorable energy; the next structure is 42 meV/atom above.